No. 1
Density functional theory data (PBE) for a relaxed structure of ZrIn2Os.

Cell: 3.1377 4.2555 5.8673 Å, 90.00 90.00 90.00°
Last column: nearest neighbours and their distance in Å.
Space group Pmmm (No. 47)
Symmetry-distinct sites (fractional):
1 Zr 0.0000 0.0000 0.0000  2 Os 2.93, 8 In 3.07, 2 Zr 3.14
2 In 0.5000 0.5000 0.2653  1 In 2.75, 4 Os 2.98, 4 Zr 3.07
3 Os 0.0000 0.0000 0.5000  2 Zr 2.93, 8 In 2.98, 2 Os 3.14

Summary:
energy relative to the elements = 205.3 meV per atom
E_tot = -6.108 eV/atom

=====

No. 2
Density functional theory data (PBE) for a relaxed structure of PaMnTcSn.

Cell: 6.6185 6.6185 6.6185 Å, 90.00 90.00 90.00°
Last column: nearest neighbours and their distance in Å.
Space group F-43m (No. 216)
Symmetry-distinct sites (fractional):
1 Pa 0.0000 0.0000 0.0000  4 Mn 2.87, 4 Tc 2.87
2 Mn 0.2500 0.2500 0.7500  4 Sn 2.87, 4 Pa 2.87
3 Tc 0.2500 0.2500 0.2500  4 Sn 2.87, 4 Pa 2.87
4 Sn 0.0000 0.0000 0.5000  4 Tc 2.87, 4 Mn 2.87

Summary:
energy relative to the elements = -83.9 meV per atom
E_tot = -8.342 eV/atom

=====

No. 3
Density functional theory data (PBE) for a relaxed structure of Co2H2Pd.

Cell: 5.7160 5.7160 2.6704 Å, 90.00 90.00 90.00°
Last column: nearest neighbours and their distance in Å.
Space group P4/mbm (No. 127)
Symmetry-distinct sites (fractional):
1 Co 0.1363 0.3637 0.0000  4 H 2.00, 1 Co 2.20
2 H 0.1239 0.6239 0.5000  4 Co 2.00, 1 H 2.00
3 Pd 0.0000 0.0000 0.5000  4 H 2.26

Summary:
energy relative to the lowest polymorph listed for this composition = 230 meV/atom
E_tot = -4.887 eV/atom

=====

Q: What is the formula in the first record?
A: ZrIn2Os

=====

Q: Which formula does entry 3 have?
A: Co2H2Pd

=====

Q: What is the formula in the first record?
A: ZrIn2Os

=====

Q: Which formula does entry 3 have?
A: Co2H2Pd